CuAs2SeBr | PBE | relaxed

```
CuAs2SeBr
1.0
5.085 0.000 0.000
0.000 5.085 0.000
0.000 0.000 5.309
Cu As Se Br
1 2 1 1
Direct
0.000 0.000 0.000
0.000 0.500 0.500
0.500 0.000 0.500
0.500 0.500 0.500
0.500 0.500 0.000
```

Properties
space group	P4/mmm (123)
polymorph energy (0 for the lowest one)	0.4156	eV/atom
crystal system	tetragonal
raw formation energy	1.01	eV/atom